{"formula": "ErSi2Os2", "functional": "meta-GGA SCAN", "state": "single point on PBEsol structure", "magnetic_moment_mub_per_fu": 0.0, "total_energy_ev_per_atom": -43.633, "lattice": [[4.111, 0.000, 0.000], [0.000, 4.111, 0.000], [0.000, 0.000, 9.578]], "species": ["Er", "Er", "Si", "Si", "Si", "Si", "Os", "Os", "Os", "Os"], "frac_coords": [[0.000, 0.000, 0.000], [0.500, 0.500, 0.500], [0.000, 0.000, 0.374], [0.000, 0.000, 0.626], [0.500, 0.500, 0.126], [0.500, 0.500, 0.874], [0.000, 0.500, 0.250], [0.000, 0.500, 0.750], [0.500, 0.000, 0.250], [0.500, 0.000, 0.750]]}

{"formula": "Er3Si13Os4", "functional": "meta-GGA SCAN", "state": "single point on PBEsol structure", "magnetic_moment_mub_per_fu": 0.0, "total_energy_ev_per_atom": -28.924, "lattice": [[8.704, 0.000, 0.000], [0.000, 8.704, 0.000], [0.000, 0.000, 8.704]], "species": ["Er", "Er", "Er", "Er", "Er", "Er", "Si", "Si", "Si", "Si", "Si", "Si", "Si", "Si", "Si", "Si", "Si", "Si", "Si", "Si", "Si", "Si", "Si", "Si", "Si", "Si", "Si", "Si", "Si", "Si", "Si", "Si", "Os", "Os", "Os", "Os", "Os", "Os", "Os", "Os"], "frac_coords": [[0.000, 0.250, 0.500], [0.000, 0.750, 0.500], [0.250, 0.500, 0.000], [0.500, 0.000, 0.250], [0.500, 0.000, 0.750], [0.750, 0.500, 0.000], [0.000, 0.000, 0.000], [0.000, 0.283, 0.139], [0.000, 0.283, 0.861], [0.000, 0.717, 0.139], [0.000, 0.717, 0.861], [0.139, 0.000, 0.283], [0.139, 0.000, 0.717], [0.217, 0.500, 0.361], [0.217, 0.500, 0.639], [0.283, 0.139, 0.000], [0.283, 0.861, 0.000], [0.361, 0.217, 0.500], [0.361, 0.783, 0.500], [0.500, 0.361, 0.217], [0.500, 0.361, 0.783], [0.500, 0.500, 0.500], [0.500, 0.639, 0.217], [0.500, 0.639, 0.783], [0.639, 0.217, 0.500], [0.639, 0.783, 0.500], [0.717, 0.139, 0.000], [0.717, 0.861, 0.000], [0.783, 0.500, 0.361], [0.783, 0.500, 0.639], [0.861, 0.000, 0.283], [0.861, 0.000, 0.717], [0.250, 0.250, 0.250], [0.250, 0.250, 0.750], [0.250, 0.750, 0.250], [0.250, 0.750, 0.750], [0.750, 0.250, 0.250], [0.750, 0.250, 0.750], [0.750, 0.750, 0.250], [0.750, 0.750, 0.750]]}

{"formula": "Er3P6Pd20", "functional": "meta-GGA SCAN", "state": "single point on PBEsol structure", "magnetic_moment_mub_per_fu": 0.0, "delta_e_f_kcal_per_mol_atoms": -18.366, "lattice": [[0.000, 6.026, 6.026], [6.026, 0.000, 6.026], [6.026, 6.026, 0.000]], "species": ["Er", "Er", "Er", "P", "P", "P", "P", "P", "P", "Pd", "Pd", "Pd", "Pd", "Pd", "Pd", "Pd", "Pd", "Pd", "Pd", "Pd", "Pd", "Pd", "Pd", "Pd", "Pd", "Pd", "Pd", "Pd", "Pd"], "frac_coords": [[0.000, 0.000, 0.000], [0.250, 0.250, 0.250], [0.750, 0.750, 0.750], [0.263, 0.263, 0.737], [0.263, 0.737, 0.263], [0.263, 0.737, 0.737], [0.737, 0.263, 0.263], [0.737, 0.263, 0.737], [0.737, 0.737, 0.263], [0.000, 0.000, 0.346], [0.000, 0.000, 0.654], [0.000, 0.346, 0.000], [0.000, 0.346, 0.654], [0.000, 0.654, 0.000], [0.000, 0.654, 0.346], [0.152, 0.616, 0.616], [0.346, 0.000, 0.000], [0.346, 0.000, 0.654], [0.346, 0.654, 0.000], [0.384, 0.384, 0.384], [0.384, 0.384, 0.848], [0.384, 0.848, 0.384], [0.616, 0.152, 0.616], [0.616, 0.616, 0.152], [0.616, 0.616, 0.616], [0.654, 0.000, 0.000], [0.654, 0.000, 0.346], [0.654, 0.346, 0.000], [0.848, 0.384, 0.384]]}

{"formula": "Er2P7Rh12", "functional": "meta-GGA SCAN", "state": "single point on PBEsol structure", "magnetic_moment_mub_per_fu": 0.0, "delta_e_f_kcal_per_mol_atoms": -23.942, "lattice": [[9.465, 0.000, 0.000], [-4.733, 8.197, 0.000], [0.000, 0.000, 3.793]], "species": ["Er", "Er", "P", "P", "P", "P", "P", "P", "P", "Rh", "Rh", "Rh", "Rh", "Rh", "Rh", "Rh", "Rh", "Rh", "Rh", "Rh", "Rh"], "frac_coords": [[0.333, 0.667, 0.250], [0.667, 0.333, 0.750], [0.000, 0.000, 0.500], [0.120, 0.406, 0.754], [0.287, 0.880, 0.754], [0.406, 0.287, 0.246], [0.594, 0.713, 0.754], [0.713, 0.120, 0.246], [0.880, 0.594, 0.246], [0.068, 0.618, 0.750], [0.111, 0.849, 0.249], [0.151, 0.262, 0.249], [0.262, 0.111, 0.751], [0.382, 0.449, 0.750], [0.449, 0.068, 0.250], [0.551, 0.932, 0.750], [0.618, 0.551, 0.250], [0.738, 0.889, 0.249], [0.849, 0.738, 0.751], [0.889, 0.151, 0.751], [0.932, 0.382, 0.250]]}

{"formula": "ErP2Ru2", "functional": "meta-GGA SCAN", "state": "single point on PBEsol structure", "magnetic_moment_mub_per_fu": 0.0, "delta_e_f_kcal_per_mol_atoms": -26.198, "lattice": [[3.995, 0.000, 0.000], [0.000, 3.995, 0.000], [0.000, 0.000, 9.396]], "species": ["Er", "Er", "P", "P", "P", "P", "Ru", "Ru", "Ru", "Ru"], "frac_coords": [[0.000, 0.000, 0.000], [0.500, 0.500, 0.500], [0.000, 0.000, 0.377], [0.000, 0.000, 0.623], [0.500, 0.500, 0.123], [0.500, 0.500, 0.877], [0.000, 0.500, 0.250], [0.000, 0.500, 0.750], [0.500, 0.000, 0.250], [0.500, 0.000, 0.750]]}

{"formula": "ErPaTc2", "functional": "meta-GGA SCAN", "state": "single point on PBEsol structure", "magnetic_moment_mub_per_fu": 0.0, "delta_e_f_kcal_per_mol_atoms": -5.480, "lattice": [[6.726, 0.000, 0.000], [0.000, 6.726, 0.000], [0.000, 0.000, 6.726]], "species": ["Er", "Er", "Er", "Er", "Pa", "Pa", "Pa", "Pa", "Tc", "Tc", "Tc", "Tc", "Tc", "Tc", "Tc", "Tc"], "frac_coords": [[0.000, 0.000, 0.000], [0.000, 0.500, 0.500], [0.500, 0.000, 0.500], [0.500, 0.500, 0.000], [0.000, 0.000, 0.500], [0.000, 0.500, 0.000], [0.500, 0.000, 0.000], [0.500, 0.500, 0.500], [0.250, 0.250, 0.250], [0.250, 0.250, 0.750], [0.250, 0.750, 0.250], [0.250, 0.750, 0.750], [0.750, 0.250, 0.250], [0.750, 0.250, 0.750], [0.750, 0.750, 0.250], [0.750, 0.750, 0.750]]}

{"formula": "Er5Pb4", "functional": "meta-GGA SCAN", "state": "single point on PBEsol structure", "magnetic_moment_mub_per_fu": 0.0, "delta_e_f_kcal_per_mol_atoms": -17.685, "lattice": [[8.014, 0.000, 0.000], [0.000, 15.244, 0.000], [0.000, 0.000, 8.066]], "species": ["Er", "Er", "Er", "Er", "Er", "Er", "Er", "Er", "Er", "Er", "Er", "Er", "Er", "Er", "Er", "Er", "Er", "Er", "Er", "Er", "Pb", "Pb", "Pb", "Pb", "Pb", "Pb", "Pb", "Pb", "Pb", "Pb", "Pb", "Pb", "Pb", "Pb", "Pb", "Pb"], "frac_coords": [[0.036, 0.099, 0.176], [0.036, 0.401, 0.176], [0.123, 0.621, 0.343], [0.123, 0.879, 0.343], [0.209, 0.250, 0.504], [0.291, 0.750, 0.004], [0.377, 0.121, 0.843], [0.377, 0.379, 0.843], [0.464, 0.599, 0.676], [0.464, 0.901, 0.676], [0.536, 0.099, 0.324], [0.536, 0.401, 0.324], [0.623, 0.621, 0.157], [0.623, 0.879, 0.157], [0.709, 0.250, 0.996], [0.791, 0.750, 0.496], [0.877, 0.121, 0.657], [0.877, 0.379, 0.657], [0.964, 0.599, 0.824], [0.964, 0.901, 0.824], [0.071, 0.250, 0.876], [0.152, 0.750, 0.654], [0.218, 0.043, 0.534], [0.218, 0.457, 0.534], [0.282, 0.543, 0.034], [0.282, 0.957, 0.034], [0.348, 0.250, 0.154], [0.429, 0.750, 0.376], [0.571, 0.250, 0.624], [0.652, 0.750, 0.846], [0.718, 0.043, 0.966], [0.718, 0.457, 0.966], [0.782, 0.543, 0.466], [0.782, 0.957, 0.466], [0.848, 0.250, 0.346], [0.929, 0.750, 0.124]]}

{"formula": "ErPdPb", "functional": "meta-GGA SCAN", "state": "single point on PBEsol structure", "magnetic_moment_mub_per_fu": 0.0, "delta_e_f_kcal_per_mol_atoms": -19.867, "lattice": [[7.720, 0.000, 0.000], [-3.860, 6.685, 0.000], [0.000, 0.000, 3.744]], "species": ["Er", "Er", "Er", "Pd", "Pd", "Pd", "Pb", "Pb", "Pb"], "frac_coords": [[0.000, 0.398, 0.000], [0.398, 0.000, 0.000], [0.602, 0.602, 0.000], [0.000, 0.000, 0.000], [0.333, 0.667, 0.500], [0.667, 0.333, 0.500], [0.000, 0.731, 0.500], [0.269, 0.269, 0.500], [0.731, 0.000, 0.500]]}